No. 1
Sc2BePd: optimized geometry, GGA-PBE.

Values from the calculation:
- energy relative to the elements (eV per atom) = 0.054
- final energy (eV per atom) = -5.3412
- spin magnetization (μB per cell) = 0.01

Cell: 7.289 7.289 5.846 Å, 51.43 51.43 90.00°
Sites, in units of the cell vectors:
Sc 0.635 0.125 0.250
Sc 0.375 0.365 0.750
Sc 0.115 0.625 0.250
Sc 0.875 0.885 0.750
Be 0.250 0.750 0.500
Be 0.500 0.500 0.000
Pd 0.750 0.250 0.500
Pd 0.000 0.000 0.000

=====

No. 2
ScBePd2: optimized geometry, GGA-PBE.

Values from the calculation:
- energy relative to the elements (eV per atom) = -0.228
- final energy (eV per atom) = -5.3392
- spin magnetization (μB per cell) = 0.00

Cell: 4.008 4.008 8.757 Å, 76.77 76.77 90.00°
Sites, in units of the cell vectors:
Sc 0.000 0.000 0.000
Sc 0.750 0.250 0.500
Pd 0.875 0.845 0.750
Pd 0.595 0.125 0.250
Pd 0.375 0.405 0.750
Pd 0.155 0.625 0.250
Be 0.500 0.500 0.000
Be 0.250 0.750 0.500

=====

No. 3
Sc2Be2SiPd5: optimized geometry, GGA-PBE.

Values from the calculation:
- raw formation energy (eV/atom) = -0.73
- final energy (eV per atom) = -5.8818
- spin magnetization (μB per cell) = 0.00

Cell: 3.367 9.304 9.304 Å, 90.00 90.00 90.00°
Sites, in units of the cell vectors:
Pd 0.500 0.707 0.431
Pd 0.500 0.793 0.931
Pd 0.500 0.000 0.500
Pd 0.500 0.569 0.707
Pd 0.500 0.500 0.000
Pd 0.500 0.931 0.207
Pd 0.500 0.069 0.793
Pd 0.500 0.293 0.569
Pd 0.500 0.207 0.069
Pd 0.500 0.431 0.293
Si 0.000 0.000 0.000
Si 0.000 0.500 0.500
Sc 0.000 0.676 0.176
Sc 0.000 0.324 0.824
Sc 0.000 0.824 0.676
Sc 0.000 0.176 0.324
Be 0.000 0.379 0.121
Be 0.000 0.121 0.621
Be 0.000 0.621 0.879
Be 0.000 0.879 0.379

=====

No. 4
ScBe2SiPd2: optimized geometry, GGA-PBE.

Values from the calculation:
- raw formation energy (eV/atom) = -0.16
- final energy (eV per atom) = -5.0875
- spin magnetization (μB per cell) = 0.00

Cell: 4.081 4.081 5.421 Å, 90.00 90.00 90.00°
Sites, in units of the cell vectors:
Be 0.500 0.000 0.000
Be 0.000 0.500 0.000
Pd 0.500 0.500 0.254
Pd 0.500 0.500 0.746
Si 0.000 0.000 0.000
Sc 0.000 0.000 0.500

=====

No. 5
Sm2ScBePd6: optimized geometry, GGA-PBE.

Values from the calculation:
- energy relative to the elements (eV per atom) = -0.613
- final energy (eV per atom) = -5.6780
- spin magnetization (μB per cell) = 0.00

Cell: 5.894 7.382 7.390 Å, 47.04 66.36 89.90°
Sites, in units of the cell vectors:
Pd 0.737 0.783 0.528
Pd 0.263 0.217 0.472
Pd 0.219 0.264 0.046
Pd 0.263 0.736 0.952
Pd 0.781 0.736 0.954
Pd 0.737 0.264 0.048
Sm 0.261 0.740 0.481
Sm 0.739 0.260 0.519
Be 0.500 0.500 0.000
Sc 0.000 0.000 0.000

=====

No. 6
Tb2ScBePd6: optimized geometry, GGA-PBE.

Values from the calculation:
- energy relative to the elements (eV per atom) = -0.684
- final energy (eV per atom) = -5.7311
- spin magnetization (μB per cell) = 0.00

Cell: 6.306 7.790 7.278 Å, 43.46 73.22 100.52°
Sites, in units of the cell vectors:
Pd 0.506 0.403 0.753
Pd 0.820 0.425 0.958
Pd 0.494 0.597 0.247
Pd 0.872 0.970 0.398
Pd 0.128 0.030 0.602
Pd 0.180 0.575 0.042
Tb 0.643 0.167 0.595
Tb 0.357 0.833 0.405
Sc 0.000 0.000 0.000
Be 0.500 0.500 0.000

=====

No. 7
Y2ScBePd6: optimized geometry, GGA-PBE.

Values from the calculation:
- energy relative to the elements (eV per atom) = -0.679
- final energy (eV per atom) = -6.0929
- spin magnetization (μB per cell) = 0.00

Cell: 5.600 8.145 7.277 Å, 47.98 73.39 103.62°
Sites, in units of the cell vectors:
Be 0.500 0.500 0.000
Y 0.832 0.358 0.404
Y 0.168 0.642 0.596
Pd 0.595 0.493 0.664
Pd 0.972 0.873 0.759
Pd 0.425 0.818 0.797
Pd 0.575 0.182 0.203
Pd 0.405 0.507 0.336
Pd 0.028 0.127 0.241
Sc 0.000 0.000 0.000

=====

No. 8
YScBe2Pd5: optimized geometry, GGA-PBE.

Values from the calculation:
- energy relative to the elements (eV per atom) = -0.682
- final energy (eV per atom) = -5.8168
- spin magnetization (μB per cell) = 0.00

Cell: 4.036 4.036 8.723 Å, 90.00 90.00 90.00°
Sites, in units of the cell vectors:
Pd 0.500 0.500 0.500
Pd 0.500 0.000 0.248
Pd 0.500 0.000 0.752
Pd 0.000 0.500 0.248
Pd 0.000 0.500 0.752
Be 0.500 0.500 0.128
Be 0.500 0.500 0.872
Y 0.000 0.000 0.500
Sc 0.000 0.000 0.000

=====

No. 9
YScBePd: optimized geometry, GGA-PBE.

Values from the calculation:
- energy relative to the elements (eV per atom) = -0.362
- final energy (eV per atom) = -5.7906
- spin magnetization (μB per cell) = 0.00

Cell: 4.784 4.784 4.784 Å, 60.00 60.00 60.00°
Sites, in units of the cell vectors:
Sc 0.750 0.750 0.750
Y 0.250 0.250 0.250
Be 0.000 0.000 0.000
Pd 0.500 0.500 0.500

=====

No. 10
Be3PdSe: optimized geometry, GGA-PBE.

Values from the calculation:
- polymorph energy (0 for the lowest one) (eV per atom) = 0.338
- raw formation energy (eV/atom) = 0.83
- final energy (eV per atom) = -3.1445
- spin magnetization (μB per cell) = 0.00

Cell: 4.204 4.204 4.204 Å, 90.00 90.00 90.00°
Sites, in units of the cell vectors:
Be 0.000 0.500 0.000
Be 0.000 0.000 0.500
Be 0.500 0.000 0.000
Pd 0.500 0.500 0.500
Se 0.000 0.000 0.000

=====

No. 11
BePdSe2: optimized geometry, GGA-PBE.

Values from the calculation:
- raw formation energy (eV/atom) = -0.35
- final energy (eV per atom) = -4.3197
- spin magnetization (μB per cell) = 0.00

Cell: 5.594 5.594 6.453 Å, 64.32 64.32 90.00°
Sites, in units of the cell vectors:
Se 0.165 0.625 0.250
Se 0.375 0.415 0.750
Se 0.875 0.835 0.750
Se 0.585 0.125 0.250
Be 0.500 0.500 0.000
Be 0.250 0.750 0.500
Pd 0.000 0.000 0.000
Pd 0.750 0.250 0.500

=====

No. 12
BePdSe2: optimized geometry, GGA-PBE.

Values from the calculation:
- raw formation energy (eV/atom) = -0.11
- final energy (eV per atom) = -4.0798
- spin magnetization (μB per cell) = 0.00

Cell: 7.788 7.788 7.788 Å, 24.57 24.57 24.57°
Sites, in units of the cell vectors:
Se 0.107 0.107 0.107
Se 0.893 0.893 0.893
Be 0.500 0.500 0.500
Pd 0.000 0.000 0.000

=====

No. 13
BePd2Se: optimized geometry, GGA-PBE.

Values from the calculation:
- polymorph energy (0 for the lowest one) (eV per atom) = 0.000
- raw formation energy (eV/atom) = -0.08
- final energy (eV per atom) = -4.4796
- spin magnetization (μB per cell) = 0.00

Cell: 3.939 3.939 8.623 Å, 76.80 76.80 90.00°
Sites, in units of the cell vectors:
Be 0.500 0.500 0.000
Be 0.250 0.750 0.500
Pd 0.375 0.384 0.750
Pd 0.875 0.866 0.750
Pd 0.134 0.625 0.250
Pd 0.616 0.125 0.250
Se 0.000 0.000 0.000
Se 0.750 0.250 0.500

=====

No. 14
BePd2Se: optimized geometry, GGA-PBE.

Values from the calculation:
- polymorph energy (0 for the lowest one) (eV per atom) = 0.037
- raw formation energy (eV/atom) = -0.04
- final energy (eV per atom) = -4.4421
- spin magnetization (μB per cell) = 0.00

Cell: 4.350 4.350 4.350 Å, 60.00 60.00 60.00°
Sites, in units of the cell vectors:
Be 0.000 0.000 0.000
Se 0.500 0.500 0.500
Pd 0.250 0.250 0.250
Pd 0.750 0.750 0.750

=====

No. 15
Be3PdSe: optimized geometry, GGA-PBE.

Values from the calculation:
- polymorph energy (0 for the lowest one) (eV per atom) = 0.000
- raw formation energy (eV/atom) = 0.49
- final energy (eV per atom) = -3.4824
- spin magnetization (μB per cell) = 0.00

Cell: 4.296 4.296 4.296 Å, 90.00 90.00 90.00°
Sites, in units of the cell vectors:
Pd 0.000 0.000 0.000
Se 0.500 0.500 0.500
Be 0.000 0.000 0.500
Be 0.500 0.000 0.000
Be 0.000 0.500 0.000

=====

No. 16
BePd3Se: optimized geometry, GGA-PBE.

Values from the calculation:
- polymorph energy (0 for the lowest one) (eV per atom) = 0.000
- raw formation energy (eV/atom) = 0.02
- final energy (eV per atom) = -4.5347
- spin magnetization (μB per cell) = 0.00

Cell: 4.288 4.288 4.288 Å, 90.00 90.00 90.00°
Sites, in units of the cell vectors:
Be 0.000 0.000 0.000
Pd 0.000 0.000 0.500
Pd 0.500 0.000 0.000
Pd 0.000 0.500 0.000
Se 0.500 0.500 0.500

=====

No. 17
BePd3Se: optimized geometry, GGA-PBE.

Values from the calculation:
- polymorph energy (0 for the lowest one) (eV per atom) = 0.495
- raw formation energy (eV/atom) = 0.52
- final energy (eV per atom) = -4.0401
- spin magnetization (μB per cell) = 0.00

Cell: 4.643 4.643 4.643 Å, 90.00 90.00 90.00°
Sites, in units of the cell vectors:
Pd 0.500 0.000 0.000
Pd 0.000 0.500 0.000
Pd 0.000 0.000 0.500
Be 0.500 0.500 0.500
Se 0.000 0.000 0.000

=====

No. 18
Ta2BePdSe: optimized geometry, GGA-PBE.

Values from the calculation:
- raw formation energy (eV/atom) = 0.52
- final energy (eV per atom) = -6.7001
- spin magnetization (μB per cell) = 0.00

Cell: 4.550 4.550 4.039 Å, 90.00 90.00 90.00°
Sites, in units of the cell vectors:
Se 0.500 0.500 0.500
Ta 0.500 0.000 0.000
Ta 0.000 0.500 0.000
Pd 0.000 0.000 0.500
Be 0.000 0.000 0.000

=====

No. 19
Y2BePdSe: optimized geometry, GGA-PBE.

Values from the calculation:
- raw formation energy (eV/atom) = -0.48
- final energy (eV per atom) = -5.5421
- spin magnetization (μB per cell) = 0.00

Cell: 5.401 4.188 5.401 Å, 90.00 90.00 90.00°
Sites, in units of the cell vectors:
Be 0.000 0.500 0.000
Y 0.500 0.000 0.000
Y 0.000 0.000 0.500
Se 0.500 0.500 0.500
Pd 0.000 0.000 0.000

=====

No. 20
ZrBe2PdSe: optimized geometry, GGA-PBE.

Values from the calculation:
- raw formation energy (eV/atom) = 0.08
- final energy (eV per atom) = -4.8597
- spin magnetization (μB per cell) = 0.00

Cell: 4.211 5.221 4.211 Å, 90.00 90.00 90.00°
Sites, in units of the cell vectors:
Zr 0.000 0.500 0.000
Pd 0.000 0.000 0.000
Se 0.500 0.500 0.500
Be 0.000 0.000 0.500
Be 0.500 0.000 0.000